Compound: PmPu2Pd
Source: the Alexandria database
Functional: PBE-GGA
Structure: relaxed

Summary:
Distance to the lowest polymorph of the same formula (kJ per mole of atoms): 0.0
Calculated volume (Å³/f.u.): 105.1
Density (g/cm³): 11.7
Spin magnetization (Bohr magnetons per cell): 11.9

Cell lengths 3.6601, 3.6601, 7.8433 Å; angles 90.00, 90.00, 90.00 degrees
Space group P4/mmm (No. 123)
Unique sites:
Pm1 0.0000 0.0000 0.0000 [1 per cell]
Pu1 0.5000 0.5000 0.2997 [2 per cell]
Pd1 0.0000 0.0000 0.5000 [1 per cell]

Compound: PmPu3Pd4
Source: the Alexandria database
Functional: PBE-GGA
Structure: relaxed

Summary:
Calculated volume (Å³/f.u.): 177.6
Density (g/cm³): 12.2
Spin magnetization (Bohr magnetons per cell): 17.1
VASP energy (eV per atom): -9.050

Cell lengths 3.5423, 4.9963, 10.0352 Å; angles 90.00, 90.00, 90.00 degrees
Space group Pmmm (No. 47)
Unique sites:
Pm1 0.0000 0.0000 0.0000 [1 per cell]
Pu1 0.0000 0.0000 0.5000 [1 per cell]
Pu2 0.0000 0.5000 0.2550 [2 per cell]
Pd1 0.5000 0.0000 0.2489 [2 per cell]
Pd2 0.5000 0.5000 0.0000 [1 per cell]
Pd3 0.5000 0.5000 0.5000 [1 per cell]

Compound: PmPu2Pd
Source: the Alexandria database
Functional: PBE-GGA
Structure: relaxed

Summary:
Distance to the lowest polymorph of the same formula (kJ per mole of atoms): 11.9
Calculated volume (Å³/f.u.): 96.3
Density (g/cm³): 12.7
Spin magnetization (Bohr magnetons per cell): 48.3

Cell lengths 7.2769, 7.2769, 7.2769 Å; angles 90.00, 90.00, 90.00 degrees
Space group Fm-3m (No. 225)
Unique sites:
Pm1 0.0000 0.0000 0.0000 [4 per cell]
Pu1 0.2500 0.2500 0.2500 [8 per cell]
Pd1 0.0000 0.0000 0.5000 [4 per cell]

Compound: Pm2PuPd9
Source: the Alexandria database
Functional: PBE-GGA
Structure: relaxed

Summary:
Calculated volume (Å³/f.u.): 217.6
Density (g/cm³): 11.4
Spin magnetization (Bohr magnetons per cell): 4.2
VASP energy (eV per atom): -6.599

Cell lengths 4.1671, 4.1671, 12.5291 Å; angles 90.00, 90.00, 90.00 degrees
Space group P4/mmm (No. 123)
Unique sites:
Pm1 0.0000 0.0000 0.1668 [2 per cell]
Pu1 0.0000 0.0000 0.5000 [1 per cell]
Pd1 0.0000 0.5000 0.0000 [2 per cell]
Pd2 0.0000 0.5000 0.3385 [4 per cell]
Pd3 0.5000 0.5000 0.1678 [2 per cell]
Pd4 0.5000 0.5000 0.5000 [1 per cell]

Compound: Pm2PuPd6
Source: the Alexandria database
Functional: PBE-GGA
Structure: relaxed

Summary:
Calculated volume (Å³/f.u.): 187.4
Density (g/cm³): 10.4
Spin magnetization (Bohr magnetons per cell): 10.3
VASP energy (eV per atom): -6.643

Cell lengths 7.3148, 11.0730, 4.6268 Å; angles 90.00, 90.00, 90.00 degrees
Space group Cmmm (No. 65)
Unique sites:
Pm1 0.0000 0.2451 0.0000 [4 per cell]
Pu1 0.0000 0.0000 0.5000 [2 per cell]
Pd1 0.1922 0.3646 0.5000 [8 per cell]
Pd2 0.2120 0.5000 0.0000 [4 per cell]

Compound: Pm4PuPd5
Source: the Alexandria database
Functional: PBE-GGA
Structure: relaxed

Summary:
Calculated volume (Å³/f.u.): 230.1
Density (g/cm³): 9.8
Spin magnetization (Bohr magnetons per cell): 5.8
VASP energy (eV per atom): -6.620

Cell lengths 3.5447, 3.5447, 18.3118 Å; angles 90.00, 90.00, 90.00 degrees
Space group P4/mmm (No. 123)
Unique sites:
Pm1 0.0000 0.0000 0.1010 [2 per cell]
Pm2 0.0000 0.0000 0.3029 [2 per cell]
Pu1 0.0000 0.0000 0.5000 [1 per cell]
Pd1 0.5000 0.5000 0.0000 [1 per cell]
Pd2 0.5000 0.5000 0.1999 [2 per cell]
Pd3 0.5000 0.5000 0.3998 [2 per cell]

Compound: PmPuPd
Source: the Alexandria database
Functional: PBE-GGA
Structure: relaxed

Summary:
Distance to the lowest polymorph of the same formula (kJ per mole of atoms): 8.8
Calculated volume (Å³/f.u.): 80.9
Density (g/cm³): 10.2
Spin magnetization (Bohr magnetons per cell): 24.6

Cell lengths 3.5054, 3.5054, 26.3197 Å; angles 90.00, 90.00, 90.00 degrees
Space group I4/mmm (No. 139)
Unique sites:
Pm1 0.0000 0.0000 0.1929 [4 per cell]
Pu1 0.0000 0.0000 0.0593 [4 per cell]
Pd1 0.0000 0.0000 0.3743 [4 per cell]

Compound: PmPuPd
Source: the Alexandria database
Functional: PBE-GGA
Structure: relaxed

Summary:
Distance to the lowest polymorph of the same formula (kJ per mole of atoms): 0.0
Calculated volume (Å³/f.u.): 77.6
Density (g/cm³): 10.6
Spin magnetization (Bohr magnetons per cell): 12.9

Cell lengths 3.6174, 3.6174, 11.8607 Å; angles 90.00, 90.00, 90.00 degrees
Space group I4mm (No. 107)
Unique sites:
Pm1 0.0000 0.0000 0.0000 [2 per cell]
Pu1 0.0000 0.0000 0.7153 [2 per cell]
Pd1 0.0000 0.0000 0.3581 [2 per cell]

Compound: PmPuPd3
Source: the Alexandria database
Functional: PBE-GGA
Structure: relaxed

Summary:
Calculated volume (Å³/f.u.): 106.0
Density (g/cm³): 11.1
Spin magnetization (Bohr magnetons per cell): 22.9
VASP energy (eV per atom): -7.533

Cell lengths 8.2269, 5.5517, 10.7225 Å; angles 90.00, 120.04, 90.00 degrees
Space group P2_1/c (No. 14)
Unique sites:
Pm1 0.1045 0.1991 0.1833 [4 per cell]
Pu1 0.3807 0.7353 0.4675 [4 per cell]
Pd1 0.1581 0.6990 0.1425 [4 per cell]
Pd2 0.2319 0.2180 0.4841 [4 per cell]
Pd3 0.4863 0.5114 0.7474 [4 per cell]

Compound: PmPuPdRh
Source: the Alexandria database
Functional: PBE-GGA
Structure: relaxed

Summary:
Distance to the lowest polymorph of the same formula (kJ per mole of atoms): 5.8
Calculated volume (Å³/f.u.): 86.9
Density (g/cm³): 11.4
Spin magnetization (Bohr magnetons per cell): 21.6

Cell lengths 7.0309, 7.0309, 7.0309 Å; angles 90.00, 90.00, 90.00 degrees
Space group F-43m (No. 216)
Unique sites:
Pm1 0.0000 0.0000 0.0000 [4 per cell]
Pu1 0.0000 0.0000 0.5000 [4 per cell]
Pd1 0.2500 0.2500 0.2500 [4 per cell]
Rh1 0.2500 0.2500 0.7500 [4 per cell]

Compound: PmPuPdRh
Source: the Alexandria database
Functional: PBE-GGA
Structure: relaxed

Summary:
Distance to the lowest polymorph of the same formula (kJ per mole of atoms): 0.0
Calculated volume (Å³/f.u.): 90.9
Density (g/cm³): 10.9
Spin magnetization (Bohr magnetons per cell): 10.8

Cell lengths 4.1378, 3.8932, 11.2797 Å; angles 90.00, 90.00, 90.00 degrees
Space group Amm2 (No. 38)
Unique sites:
Pm1 0.0000 0.0000 0.0000 [2 per cell]
Pu1 0.5000 0.0000 0.7208 [2 per cell]
Pd1 0.5000 0.0000 0.4356 [2 per cell]
Rh1 0.0000 0.0000 0.2585 [2 per cell]

Compound: PmPuSbPd
Source: the Alexandria database
Functional: PBE-GGA
Structure: relaxed

Summary:
Calculated volume (Å³/f.u.): 102.1
Energy relative to the elements, uncorrected (meV per atom): -616
Density (g/cm³): 10.0
Spin magnetization (Bohr magnetons per cell): 24.9

Cell lengths 7.4188, 7.4188, 7.4188 Å; angles 90.00, 90.00, 90.00 degrees
Space group F-43m (No. 216)
Unique sites:
Pm1 0.0000 0.0000 0.0000 [4 per cell]
Pu1 0.0000 0.0000 0.5000 [4 per cell]
Sb1 0.2500 0.2500 0.7500 [4 per cell]
Pd1 0.2500 0.2500 0.2500 [4 per cell]

Compound: PmPuSnPd
Source: the Alexandria database
Functional: PBE-GGA
Structure: relaxed

Summary:
Calculated volume (Å³/f.u.): 94.9
Density (g/cm³): 10.7
Spin magnetization (Bohr magnetons per cell): 27.7
VASP energy (eV per atom): -7.377

Cell lengths 7.2417, 7.2417, 7.2417 Å; angles 90.00, 90.00, 90.00 degrees
Space group F-43m (No. 216)
Unique sites:
Pm1 0.0000 0.0000 0.0000 [4 per cell]
Pu1 0.2500 0.2500 0.7500 [4 per cell]
Sn1 0.0000 0.0000 0.5000 [4 per cell]
Pd1 0.2500 0.2500 0.2500 [4 per cell]

Compound: PmPuTePd
Source: the Alexandria database
Functional: PBE-GGA
Structure: relaxed

Summary:
Calculated volume (Å³/f.u.): 101.8
Energy relative to the elements, uncorrected (meV per atom): -697
Density (g/cm³): 10.2
Spin magnetization (Bohr magnetons per cell): 28.1

Cell lengths 7.4123, 7.4123, 7.4123 Å; angles 90.00, 90.00, 90.00 degrees
Space group F-43m (No. 216)
Unique sites:
Pm1 0.0000 0.0000 0.0000 [4 per cell]
Pu1 0.0000 0.0000 0.5000 [4 per cell]
Te1 0.2500 0.2500 0.2500 [4 per cell]
Pd1 0.2500 0.2500 0.7500 [4 per cell]

Compound: RbPmPd4
Source: the Alexandria database
Functional: PBE-GGA
Structure: relaxed

Summary:
Calculated volume (Å³/f.u.): 122.5
Density (g/cm³): 8.9
Spin magnetization (Bohr magnetons per cell): 0.0
VASP energy (eV per atom): -4.762

Cell lengths 7.8841, 7.8841, 7.8841 Å; angles 90.00, 90.00, 90.00 degrees
Space group F-43m (No. 216)
Unique sites:
Rb1 0.0000 0.0000 0.0000 [4 per cell]
Pm1 0.2500 0.2500 0.7500 [4 per cell]
Pd1 0.1243 0.1243 0.3757 [16 per cell]

Compound: PmRePd
Source: the Alexandria database
Functional: PBE-GGA
Structure: relaxed

Summary:
Calculated volume (Å³/f.u.): 57.2
Density (g/cm³): 12.7
Spin magnetization (Bohr magnetons per cell): 0.0
VASP energy (eV per atom): -7.207

Cell lengths 12.7842, 4.2244, 4.2336 Å; angles 90.00, 90.00, 90.00 degrees
Space group Amm2 (No. 38)
Unique sites:
Pm1 0.1787 0.0000 0.0000 [4 per cell]
Re1 0.3604 0.0000 0.4990 [4 per cell]
Pd1 0.0000 0.0000 0.5003 [2 per cell]
Pd2 0.5000 0.0000 0.9988 [2 per cell]

Compound: PmThRePd
Source: the Alexandria database
Functional: PBE-GGA
Structure: relaxed

Summary:
Calculated volume (Å³/f.u.): 91.2
Density (g/cm³): 12.2
Spin magnetization (Bohr magnetons per cell): 0.0
VASP energy (eV per atom): -7.669

Cell lengths 7.1465, 7.1465, 7.1465 Å; angles 90.00, 90.00, 90.00 degrees
Space group F-43m (No. 216)
Unique sites:
Pm1 0.0000 0.0000 0.0000 [4 per cell]
Th1 0.0000 0.0000 0.5000 [4 per cell]
Re1 0.2500 0.2500 0.7500 [4 per cell]
Pd1 0.2500 0.2500 0.2500 [4 per cell]

Compound: Pm8Pd2Rh
Source: the Alexandria database
Functional: PBE-GGA
Structure: relaxed

Summary:
Distance to the lowest polymorph of the same formula (kJ per mole of atoms): 8.2
Calculated volume (Å³/f.u.): 324.9
Density (g/cm³): 7.5
Spin magnetization (Bohr magnetons per cell): 0.0

Cell lengths 8.5011, 13.0227, 6.2990 Å; angles 90.00, 111.28, 90.00 degrees
Space group Cm (No. 8)
Unique sites:
Pm1 0.0000 0.0000 0.0000 [2 per cell]
Pm2 0.0747 0.3718 0.8061 [4 per cell]
Pm3 0.1430 0.1291 0.5752 [4 per cell]
Pm4 0.2151 0.5000 0.3577 [2 per cell]
Pm5 0.3593 0.2012 0.1819 [4 per cell]
Pd1 0.3559 0.3111 0.6796 [4 per cell]
Rh1 0.3504 0.0000 0.9950 [2 per cell]

Compound: Pm4Pd2Rh
Source: the Alexandria database
Functional: PBE-GGA
Structure: relaxed

Summary:
Calculated volume (Å³/f.u.): 186.1
Density (g/cm³): 8.0
Spin magnetization (Bohr magnetons per cell): 0.0
VASP energy (eV per atom): -5.893

Cell lengths 14.1626, 4.5581, 6.0147 Å; angles 90.00, 106.50, 90.00 degrees
Space group C2/m (No. 12)
Unique sites:
Pm1 0.0859 0.0000 0.2789 [4 per cell]
Pm2 0.1547 0.5000 0.7938 [4 per cell]
Pd1 0.2270 0.5000 0.3214 [4 per cell]
Rh1 0.0000 0.5000 0.0000 [2 per cell]

Compound: Pm4PdRh
Source: the Alexandria database
Functional: PBE-GGA
Structure: relaxed

Summary:
Distance to the lowest polymorph of the same formula (kJ per mole of atoms): 0.0
Calculated volume (Å³/f.u.): 162.2
Density (g/cm³): 8.1
Spin magnetization (Bohr magnetons per cell): 0.0

Cell lengths 13.7436, 13.7436, 13.7436 Å; angles 90.00, 90.00, 90.00 degrees
Space group F-43m (No. 216)
Unique sites:
Pm1 0.0000 0.0000 0.1875 [24 per cell]
Pm2 0.0588 0.2500 0.7500 [24 per cell]
Pm3 0.1064 0.1064 0.3936 [16 per cell]
Pd1 0.1537 0.1537 0.1537 [16 per cell]
Rh1 0.1067 0.1067 0.6067 [16 per cell]